First-principles (PBE) data for a relaxed CuSi2Pd2 crystal, as listed in Alexandria.

```
CuSi2Pd2
1.0
-2.2483 -5.6971 -3.5438
6.3939 -0.6870 -2.9522
0.8452 -1.7213 2.2311
Cu Si Pd
2 4 4
Direct
0.0000 0.0000 0.0000
0.5000 0.5000 0.0000
0.8421 0.3421 0.5000
0.6579 0.8421 0.5000
0.3421 0.1579 0.5000
0.1579 0.6579 0.5000
0.1424 0.3576 0.0000
0.8576 0.6424 0.0000
0.6424 0.1424 0.0000
0.3576 0.8576 0.0000
```

## Properties
Relative energy among the computed polymorphs   0.077 eV/atom
Symmetry   P4/mbm (127)
Spin magnetization   0.000 μB per atom
Calculated total energy   -52.44 eV/cell